Entry w
This record from Alexandria describes a PBEsol-optimized structure of MgOs2Cl. The functional is SCAN.

Cell: 5.4288 5.4288 2.7379 Å, 90.00 90.00 126.18°
Element x y z (fractional)
Mg 0.0000 0.0000 0.0000
Os 0.0000 0.5000 0.5000
Os 0.5000 0.0000 0.5000
Cl 0.5000 0.5000 0.0000

---

Entry x
This record from Alexandria describes a PBEsol-optimized structure of MgOs2Cl. The functional is SCAN.

Cell: 2.8145 2.8145 8.8907 Å, 90.00 90.00 120.91°
Element x y z (fractional)
Mg 0.0000 0.0000 0.0000
Os 0.5000 0.5000 0.2579
Os 0.5000 0.5000 0.7421
Cl 0.0000 0.0000 0.5000

---

Last place for stability: entry w

---

Entry w
This record from Alexandria describes a PBEsol-optimized structure of MgOs2Cl. The functional is SCAN.

Cell: 5.4756 5.4756 5.4756 Å, 150.24 131.84 57.64°
Element x y z (fractional)
Mg 0.0000 0.0000 0.0000
Os 0.2740 0.7740 0.5000
Os 0.7260 0.2260 0.5000
Cl 0.5000 0.5000 0.0000

---

Entry x
This record from Alexandria describes a PBEsol-optimized structure of MgOs2Cl. The functional is SCAN.

Cell: 2.8881 2.8881 7.4824 Å, 90.00 90.00 90.00°
Element x y z (fractional)
Mg 0.0000 0.0000 0.0000
Os 0.0000 0.0000 0.4701
Os 0.5000 0.5000 0.2618
Cl 0.5000 0.5000 0.7439

---

Last place for stability: entry w

---

Entry w
This record from Alexandria describes a PBEsol-optimized structure of MgOs2Cl. The functional is SCAN.

Cell: 2.9779 2.9779 6.4826 Å, 90.00 90.00 90.00°
Element x y z (fractional)
Mg 0.0000 0.0000 0.0000
Os 0.5000 0.5000 0.2678
Os 0.5000 0.5000 0.7322
Cl 0.0000 0.0000 0.5000

---

Entry x
This record from Alexandria describes a PBEsol-optimized structure of MgOs2Cl. The functional is SCAN.

Cell: 4.3407 4.3407 4.3407 Å, 60.00 60.00 60.00°
Element x y z (fractional)
Mg 0.0000 0.0000 0.0000
Os 0.2500 0.2500 0.2500
Os 0.7500 0.7500 0.7500
Cl 0.5000 0.5000 0.5000

---

Last place for stability: entry x

---

Entry w
This record from Alexandria describes a PBEsol-optimized structure of MgOsCl. The functional is SCAN.

Cell: 4.3107 4.3107 2.8965 Å, 90.00 90.00 120.00°
Element x y z (fractional)
Mg 0.0000 0.0000 0.0000
Os 0.3333 0.6667 0.5000
Cl 0.6667 0.3333 0.5000

---

Entry x
This record from Alexandria describes a PBEsol-optimized structure of MgOsCl. The functional is SCAN.

Cell: 2.8977 2.8977 7.1425 Å, 90.00 90.00 120.00°
Element x y z (fractional)
Mg 0.0000 0.0000 0.0000
Os 0.6667 0.3333 0.6959
Cl 0.3333 0.6667 0.2357

---

Last place for stability: entry w

---

Entry w
This record from Alexandria describes a PBEsol-optimized structure of MgPbCl2. The functional is SCAN.

Cell: 5.9565 5.9565 5.7293 Å, 103.08 103.08 32.26°
Element x y z (fractional)
Mg 0.0000 0.0000 0.0000
Pb 0.7039 0.7039 0.3996
Cl 0.3505 0.3505 0.0593
Cl 0.5441 0.5441 0.7093

---

Entry x
This record from Alexandria describes a PBEsol-optimized structure of MgPbCl2. The functional is SCAN.

Cell: 3.4079 3.4079 11.5098 Å, 90.00 90.00 117.94°
Element x y z (fractional)
Mg 0.0000 0.0000 0.0000
Pb 0.0000 0.0000 0.5000
Cl 0.5000 0.5000 0.1399
Cl 0.5000 0.5000 0.8601

---

Last place for stability: entry w

---

Entry w
This record from Alexandria describes a PBEsol-optimized structure of MgPbCl2. The functional is SCAN.

Cell: 11.4733 11.4733 11.4733 Å, 17.35 17.35 17.35°
Element x y z (fractional)
Mg 0.0000 0.0000 0.0000
Pb 0.5000 0.5000 0.5000
Cl 0.2911 0.2911 0.2911
Cl 0.7089 0.7089 0.7089

---

Entry x
This record from Alexandria describes a PBEsol-optimized structure of MgPbCl2. The functional is SCAN.

Cell: 6.6951 6.6951 6.6951 Å, 144.46 144.46 51.13°
Element x y z (fractional)
Mg 0.0000 0.0000 0.0000
Pb 0.7500 0.2500 0.5000
Cl 0.2500 0.7500 0.5000
Cl 0.5000 0.5000 0.0000

---

Last place for stability: entry x

---

Entry w
This record from Alexandria describes a PBEsol-optimized structure of MgPbCl2. The functional is SCAN.

Cell: 9.0826 9.0826 9.0826 Å, 24.01 24.01 24.01°
Element x y z (fractional)
Mg 0.0000 0.0000 0.0000
Pb 0.2351 0.2351 0.2351
Cl 0.4982 0.4982 0.4982
Cl 0.7149 0.7149 0.7149

---

Entry x
This record from Alexandria describes a PBEsol-optimized structure of MgPbCl2. The functional is SCAN.

Cell: 5.3225 5.3225 3.4923 Å, 90.00 90.00 105.66°
Element x y z (fractional)
Mg 0.0000 0.0000 0.0000
Pb 0.5000 0.5000 0.0000
Cl 0.0000 0.5000 0.5000
Cl 0.5000 0.0000 0.5000

---

Entry y
This record from Alexandria describes a PBEsol-optimized structure of MgPbCl2. The functional is SCAN.

Cell: 7.0520 7.0520 7.0520 Å, 120.75 120.75 88.71°
Element x y z (fractional)
Mg 0.0000 0.0000 0.0000
Mg 0.7500 0.2500 0.5000
Pb 0.2500 0.7500 0.5000
Pb 0.5000 0.5000 0.0000
Cl 0.0045 0.6250 0.8795
Cl 0.3750 0.2545 0.3795
Cl 0.7455 0.1250 0.1205
Cl 0.8750 0.9955 0.6205

---

Last place for stability: entry x

---

Entry w
This record from Alexandria describes a PBEsol-optimized structure of MgPt2Cl. The functional is SCAN.

Cell: 2.8698 2.8698 7.6986 Å, 90.00 90.00 90.00°
Element x y z (fractional)
Mg 0.0000 0.0000 0.0000
Pt 0.5000 0.5000 0.2376
Pt 0.5000 0.5000 0.7624
Cl 0.0000 0.0000 0.5000

---

Entry x
This record from Alexandria describes a PBEsol-optimized structure of MgPt2Cl. The functional is SCAN.

Cell: 5.3368 5.3368 5.3368 Å, 148.16 126.31 63.79°
Element x y z (fractional)
Mg 0.0000 0.0000 0.0000
Pt 0.2555 0.7555 0.5000
Pt 0.5169 0.5169 0.0000
Cl 0.7703 0.2703 0.5000

---

Last place for stability: entry x

---

Entry w
This record from Alexandria describes a PBEsol-optimized structure of MgRe2Cl. The functional is SCAN.

Cell: 5.4027 5.4027 2.7195 Å, 90.00 90.00 124.69°
Element x y z (fractional)
Mg 0.0000 0.0000 0.0000
Re 0.0000 0.5000 0.5000
Re 0.5000 0.0000 0.5000
Cl 0.5000 0.5000 0.0000

---

Entry x
This record from Alexandria describes a PBEsol-optimized structure of MgRe2Cl. The functional is SCAN.

Cell: 4.6088 4.6088 2.7920 Å, 90.00 90.00 90.00°
Element x y z (fractional)
Mg 0.0000 0.0000 0.0000
Re 0.0000 0.5000 0.5000
Re 0.5000 0.0000 0.5000
Cl 0.5000 0.5000 0.0000

---

Last place for stability: entry x

---

Entry w
This record from Alexandria describes a PBEsol-optimized structure of MgReCl2. The functional is SCAN.

Cell: 2.9480 4.0581 5.6108 Å, 90.00 96.15 90.00°
Element x y z (fractional)
Mg 0.0000 0.0000 0.0000
Re 0.5000 0.0000 0.5000
Cl 0.4314 0.5000 0.2574
Cl 0.5686 0.5000 0.7426

---

Entry x
This record from Alexandria describes a PBEsol-optimized structure of MgReCl2. The functional is SCAN.

Cell: 8.3236 8.3236 8.3236 Å, 149.98 149.98 42.98°
Element x y z (fractional)
Mg 0.0000 0.0000 0.0000
Mg 0.7500 0.2500 0.5000
Re 0.2500 0.7500 0.5000
Re 0.5000 0.5000 0.0000
Cl 0.1546 0.6250 0.0296
Cl 0.3750 0.4046 0.5296
Cl 0.5954 0.1250 0.9704
Cl 0.8750 0.8454 0.4704

---

Entry y
This record from Alexandria describes a PBEsol-optimized structure of MgReCl2. The functional is SCAN.

Cell: 9.3754 9.3754 9.3754 Å, 18.55 18.55 18.55°
Element x y z (fractional)
Mg 0.0000 0.0000 0.0000
Re 0.5000 0.5000 0.5000
Cl 0.2320 0.2320 0.2320
Cl 0.7680 0.7680 0.7680

---

Last place for stability: entry x

---

Entry w
This record from Alexandria describes a PBEsol-optimized structure of MgRuCl2. The functional is SCAN.

Cell: 3.0332 3.0332 7.9342 Å, 90.00 90.00 90.00°
Element x y z (fractional)
Mg 0.0000 0.0000 0.0000
Ru 0.5000 0.5000 0.2582
Cl 0.0000 0.0000 0.4163
Cl 0.5000 0.5000 0.8174

---

Entry x
This record from Alexandria describes a PBEsol-optimized structure of MgRuCl2. The functional is SCAN.

Cell: 4.9419 4.9419 3.4271 Å, 109.45 109.45 103.94°
Element x y z (fractional)
Mg 0.0000 0.0000 0.0000
Ru 0.5000 0.5000 0.0000
Cl 0.0000 0.5000 0.0000
Cl 0.5000 0.0000 0.0000

---

Entry y
This record from Alexandria describes a PBEsol-optimized structure of MgRuCl2. The functional is SCAN.

Cell: 3.1315 3.1315 8.5955 Å, 90.00 90.00 113.43°
Element x y z (fractional)
Mg 0.0000 0.0000 0.0000
Ru 0.5000 0.5000 0.2570
Cl 0.0000 0.0000 0.4315
Cl 0.5000 0.5000 0.8121

---

Last place for stability: entry x

---

Entry w
This record from Alexandria describes a PBEsol-optimized structure of MgSiCl2. The functional is SCAN.

Cell: 3.1484 3.1484 7.8668 Å, 90.00 90.00 90.00°
Element x y z (fractional)
Mg 0.0000 0.0000 0.0000
Si 0.5000 0.5000 0.2365
Cl 0.0000 0.0000 0.4419
Cl 0.5000 0.5000 0.8309

---

Entry x
This record from Alexandria describes a PBEsol-optimized structure of MgSiCl2. The functional is SCAN.

Cell: 5.7910 5.7910 5.2385 Å, 101.67 101.67 31.62°
Element x y z (fractional)
Mg 0.0000 0.0000 0.0000
Si 0.5000 0.5000 0.5000
Cl 0.3422 0.3422 0.7892
Cl 0.6578 0.6578 0.2108

---

Entry y
This record from Alexandria describes a PBEsol-optimized structure of MgSiCl2. The functional is SCAN.

Cell: 5.5460 5.5460 5.3966 Å, 102.36 102.36 32.88°
Element x y z (fractional)
Mg 0.0000 0.0000 0.0000
Si 0.3218 0.3218 0.6129
Cl 0.4674 0.4674 0.3601
Cl 0.6710 0.6710 0.9860

---

Last place for stability: entry w